#a
The following is a DFT calculation (PBE) of a relaxed structure of Ta2CdBi.

The structure in POSCAR format:
```
Ta2CdBi
1.0
0.000 3.504 3.504
3.504 0.000 3.504
3.504 3.504 0.000
Ta Cd Bi
2 1 1
Direct
0.000 0.000 0.000
0.250 0.250 0.250
0.750 0.750 0.750
0.500 0.500 0.500
```

#b
The following is a DFT calculation (PBE) of a relaxed structure of Ta2CdBi.

The structure in POSCAR format:
```
Ta2CdBi
1.0
0.000 3.447 3.447
3.447 0.000 3.447
3.447 3.447 0.000
Ta Cd Bi
2 1 1
Direct
0.250 0.250 0.250
0.750 0.750 0.750
0.000 0.000 0.000
0.500 0.500 0.500
```

#b takes first place; second place is 29 meV per atom up.

#a
The following is a DFT calculation (PBE) of a relaxed structure of TbCdBi.

The structure in POSCAR format:
```
TbCdBi
1.0
4.419 0.000 0.000
0.000 4.419 0.000
0.000 0.000 8.882
Tb Cd Bi
2 2 2
Direct
0.250 0.250 0.178
0.750 0.750 0.822
0.250 0.750 0.500
0.750 0.250 0.500
0.250 0.250 0.820
0.750 0.750 0.180
```

#b
The following is a DFT calculation (PBE) of a relaxed structure of TbCdBi.

The structure in POSCAR format:
```
TbCdBi
1.0
4.797 0.000 0.000
-2.398 4.154 0.000
0.000 0.000 4.327
Tb Cd Bi
1 1 1
Direct
0.000 0.000 0.000
0.667 0.333 0.310
0.333 0.667 0.593
```

#a takes first place; second place is 129 meV per atom up.